# 1
Computed, not measured: MgPb after structural relaxation at the GGA-PBEsol level of DFT.

Values from the calculation:
* theoretical density: 7.623 Mg/m³
* E_tot: -2.93 eV/atom
* V: 50.43 Å³/f.u.
* energy of formation: -73 meV/atom

a b c (Å): 3.772 3.772 3.545
angles (deg): 90.00 90.00 90.00
Fractional positions:
1 Mg 0.000 0.000 0.000
2 Pb 0.500 0.500 0.500

***

# 2
Computed, not measured: MgPb after structural relaxation at the GGA-PBEsol level of DFT.

Values from the calculation:
* theoretical density: 7.565 Mg/m³
* E_tot: -2.93 eV/atom
* V: 50.82 Å³/f.u.
* energy of formation: -70 meV/atom

a b c (Å): 5.946 5.946 5.374
angles (deg): 105.82 105.82 33.93
Fractional positions:
1 Mg 0.128 0.128 0.314
2 Mg 0.872 0.872 0.686
3 Pb 0.380 0.380 0.197
4 Pb 0.620 0.620 0.803

***

# 3
Computed, not measured: MgPb2 after structural relaxation at the GGA-PBEsol level of DFT.

Values from the calculation:
* theoretical density: 8.883 Mg/m³
* energy above the lowest structure with this stoichiometry: 3.4 kJ/mol of atoms
* E_tot: -3.25 eV/atom
* V: 82.01 Å³/f.u.
* energy of formation: -14 meV/atom

a b c (Å): 3.442 3.442 7.995
angles (deg): 90.00 90.00 120.00
Fractional positions:
1 Mg 0.000 0.000 0.000
2 Pb 0.333 0.667 0.319
3 Pb 0.667 0.333 0.681

***

# 4
Computed, not measured: Mg3Pb after structural relaxation at the GGA-PBEsol level of DFT.

Values from the calculation:
* theoretical density: 4.984 Mg/m³
* E_tot: -2.36 eV/atom
* V: 93.33 Å³/f.u.
* energy of formation: -69 meV/atom

a b c (Å): 6.350 6.350 5.345
angles (deg): 90.00 90.00 120.00
Fractional positions:
1 Mg 0.165 0.329 0.250
2 Mg 0.165 0.835 0.250
3 Mg 0.329 0.165 0.750
4 Mg 0.671 0.835 0.250
5 Mg 0.835 0.165 0.750
6 Mg 0.835 0.671 0.750
7 Pb 0.333 0.667 0.750
8 Pb 0.667 0.333 0.250

***

# 5
Computed, not measured: Mg3Pb after structural relaxation at the GGA-PBEsol level of DFT.

Values from the calculation:
* theoretical density: 4.867 Mg/m³
* E_tot: -2.32 eV/atom
* V: 95.56 Å³/f.u.
* energy of formation: -37 meV/atom

a b c (Å): 6.136 6.136 6.136
angles (deg): 148.27 62.76 127.38
Fractional positions:
1 Mg 0.000 0.000 0.000
2 Mg 0.407 0.658 0.749
3 Mg 0.909 0.658 0.251
4 Pb 0.499 0.999 0.500

***

# 6
Computed, not measured: MgPb2 after structural relaxation at the GGA-PBEsol level of DFT.

Values from the calculation:
* theoretical density: 8.300 Mg/m³
* energy above the lowest structure with this stoichiometry: 7.8 kJ/mol of atoms
* E_tot: -3.21 eV/atom
* V: 87.77 Å³/f.u.
* energy of formation: 33 meV/atom

a b c (Å): 4.988 4.988 4.988
angles (deg): 60.00 60.00 60.00
Fractional positions:
1 Mg 0.000 0.000 0.000
2 Pb 0.250 0.250 0.250
3 Pb 0.750 0.750 0.750